(1)
## Rb3CrS4 (PBE)

Data for crystalline Rb3CrS4 at its relaxed geometry.

Structure (POSCAR):
```
Rb3CrS4
1.0
-1.516 -8.942 -2.814
4.434 1.836 -8.221
9.672 -3.065 4.531
S Rb Cr
16 12 4
Direct
0.206 0.738 0.250 S
0.794 0.262 0.750 S
0.330 0.450 0.409 S
0.670 0.550 0.591 S
0.330 0.450 0.091 S
0.706 0.762 0.250 S
0.013 0.427 0.250 S
0.513 0.073 0.250 S
0.487 0.927 0.750 S
0.294 0.238 0.750 S
0.170 0.950 0.909 S
0.670 0.550 0.909 S
0.987 0.573 0.750 S
0.170 0.950 0.591 S
0.830 0.050 0.091 S
0.830 0.050 0.409 S
0.146 0.084 0.250 Rb
0.646 0.416 0.250 Rb
0.453 0.792 0.456 Rb
0.953 0.708 0.456 Rb
0.047 0.292 0.544 Rb
0.453 0.792 0.044 Rb
0.047 0.292 0.956 Rb
0.953 0.708 0.044 Rb
0.354 0.584 0.750 Rb
0.547 0.208 0.544 Rb
0.854 0.916 0.750 Rb
0.547 0.208 0.956 Rb
0.279 0.014 0.750 Cr
0.221 0.514 0.250 Cr
0.721 0.986 0.250 Cr
0.779 0.486 0.750 Cr
```

M_tot: 1.000 μB per formula unit
E_form (uncorrected): -0.9890 eV per atom

---

(2)
## AgHgW2 (PBE)

Data for crystalline AgHgW2 at its relaxed geometry.

Structure (POSCAR):
```
AgHgW2
1.0
-2.716 0.525 -1.785
-0.111 -3.198 -0.772
-3.799 -1.180 5.434
W Hg Ag
2 1 1
Direct
0.500 0.500 0.219 W
0.000 0.000 0.040 W
0.500 0.500 0.747 Hg
0.000 0.000 0.494 Ag
```

M_tot: 0.000 μB per formula unit
Calculated formation energy: 55.8 kJ per mole of atoms

---

(3)
## PmNdHo (PBE)

Data for crystalline PmNdHo at its relaxed geometry.

Structure (POSCAR):
```
PmNdHo
1.0
-0.205 -3.042 -1.761
5.708 -0.104 -0.486
-2.536 -2.445 4.519
Pm Ho Nd
1 1 1
Direct
0.166 0.000 0.000 Pm
0.168 0.333 0.667 Ho
0.667 0.667 0.333 Nd
```

M_tot: 0.000 μB per formula unit
Calculated formation energy: 6.2 kJ per mole of atoms

---

(4)
## Sm3HoCo8 (PBE)

Data for crystalline Sm3HoCo8 at its relaxed geometry.

Structure (POSCAR):
```
Sm3HoCo8
1.0
5.113 0.000 0.000
2.557 4.428 0.000
2.557 1.476 8.358
Co Sm Ho
8 3 1
Direct
0.437 0.935 0.191 Co
0.687 0.687 0.938 Co
0.437 0.437 0.191 Co
0.441 0.937 0.685 Co
0.188 0.188 0.437 Co
0.935 0.437 0.191 Co
0.937 0.441 0.685 Co
0.937 0.937 0.685 Co
0.500 0.500 0.500 Sm
0.375 0.375 0.875 Sm
0.000 0.000 0.000 Sm
0.875 0.875 0.375 Ho
```

M_tot: 7.563 μB per formula unit
Calculated formation energy: -11.9 kJ per mole of atoms

---

(5)
## FeCu2Ge2 (PBE)

Data for crystalline FeCu2Ge2 at its relaxed geometry.

Structure (POSCAR):
```
FeCu2Ge2
1.0
-2.413 -2.354 5.372
5.843 -0.453 2.426
-0.288 3.274 1.305
Ge Cu Fe
4 4 2
Direct
0.654 0.154 0.000 Ge
0.846 0.654 0.000 Ge
0.154 0.346 0.000 Ge
0.346 0.846 0.000 Ge
0.352 0.148 0.500 Cu
0.648 0.852 0.500 Cu
0.852 0.352 0.500 Cu
0.148 0.648 0.500 Cu
0.000 0.000 0.000 Fe
0.500 0.500 0.000 Fe
```

M_tot: 1.357 μB per formula unit
Calculated formation energy: 21.6 kJ per mole of atoms

---

(6)
## YH3Se (PBE)

Data for crystalline YH3Se at its relaxed geometry.

Structure (POSCAR):
```
YH3Se
1.0
-1.907 1.333 -3.156
-3.416 -0.465 1.867
0.261 3.658 1.387
Se Y H
1 1 3
Direct
0.000 0.000 0.000 Se
0.500 0.500 0.500 Y
0.000 0.000 0.500 H
0.000 0.500 0.000 H
0.500 0.000 0.000 H
```

M_tot: 0.000 μB per formula unit
E_tot: -3.633 eV per atom

---

(7)
## GePbSCl2 (PBE)

Data for crystalline GePbSCl2 at its relaxed geometry.

Structure (POSCAR):
```
GePbSCl2
1.0
5.002 0.000 0.000
0.000 5.002 0.000
0.000 0.000 5.130
Pb Cl Ge S
1 2 1 1
Direct
0.500 0.500 0.500 Pb
0.500 0.000 0.000 Cl
0.000 0.500 0.000 Cl
0.000 0.000 0.000 Ge
0.000 0.000 0.500 S
```

M_tot: 0.000 μB per formula unit
E_form (uncorrected): -0.4052 eV per atom

---

(8)
## VHI3 (PBE)

Data for crystalline VHI3 at its relaxed geometry.

Structure (POSCAR):
```
VHI3
1.0
3.924 -0.295 -0.258
1.108 9.653 4.492
-0.934 4.269 10.605
V I H
2 6 2
Direct
0.171 0.388 0.686 V
0.518 0.373 0.373 V
0.640 0.604 0.634 I
0.992 0.591 0.332 I
0.696 0.169 0.727 I
0.333 0.611 0.009 I
0.048 0.156 0.425 I
0.355 0.149 0.050 I
0.860 0.145 0.057 H
0.829 0.616 0.002 H
```

M_tot: 2.714 μB per formula unit
E_tot: -3.630 eV per atom

---

(9)
## Tb4C2Cl3 (PBE)

Data for crystalline Tb4C2Cl3 at its relaxed geometry.

Structure (POSCAR):
```
Tb4C2Cl3
1.0
-2.104 0.253 2.806
5.633 -3.793 2.363
2.700 7.685 1.332
Tb Cl C
4 3 2
Direct
0.321 0.642 0.895 Tb
0.904 0.807 0.300 Tb
0.679 0.358 0.105 Tb
0.096 0.193 0.700 Tb
0.417 0.834 0.609 Cl
0.583 0.166 0.391 Cl
0.000 0.000 0.000 Cl
0.698 0.396 0.824 C
0.302 0.604 0.176 C
```

M_tot: 0.000 μB per formula unit
E_form (uncorrected): -1.1433 eV per atom

---

(10)
## BaAsPd2W (PBE)

Data for crystalline BaAsPd2W at its relaxed geometry.

Structure (POSCAR):
```
BaAsPd2W
1.0
-0.323 -1.684 4.755
-1.551 -4.322 -1.636
4.782 -1.621 -0.250
As Ba Pd W
1 1 2 1
Direct
0.000 0.500 0.000 As
0.500 0.500 0.500 Ba
0.500 0.000 0.000 Pd
0.000 0.000 0.500 Pd
0.000 0.000 0.000 W
```

M_tot: 0.000 μB per formula unit
Calculated formation energy: 1.2 kJ per mole of atoms

---

(11)
## EuGdAgAu (PBE)

Data for crystalline EuGdAgAu at its relaxed geometry.

Structure (POSCAR):
```
EuGdAgAu
1.0
-2.685 -4.165 -1.681
2.471 -3.864 -2.519
0.649 -4.644 2.324
Au Eu Ag Gd
1 1 1 1
Direct
0.500 0.500 0.500 Au
0.750 0.750 0.750 Eu
0.000 0.000 0.000 Ag
0.250 0.250 0.250 Gd
```

M_tot: 0.137 μB per formula unit
Calculated formation energy: -51.1 kJ per mole of atoms

---

(12)
## Tm2HfPa (PBE)

Data for crystalline Tm2HfPa at its relaxed geometry.

Structure (POSCAR):
```
Tm2HfPa
1.0
3.237 0.000 0.000
1.618 2.803 0.000
1.618 0.934 11.598
Hf Pa Tm
1 1 2
Direct
0.500 0.500 0.500 Hf
0.000 0.000 0.000 Pa
0.091 0.091 0.726 Tm
0.909 0.909 0.274 Tm
```

M_tot: 0.000 μB per formula unit
Calculated formation energy: 24.2 kJ per mole of atoms

---

(13)
## K2CaAg (PBE)

Data for crystalline K2CaAg at its relaxed geometry.

Structure (POSCAR):
```
K2CaAg
1.0
4.389 -3.847 -2.174
-1.278 -6.041 -0.813
-0.478 -2.335 -5.754
K Ag Ca
2 1 1
Direct
0.750 0.750 0.750 K
0.250 0.250 0.250 K
0.500 0.500 0.500 Ag
0.000 0.000 0.000 Ca
```

M_tot: 0.000 μB per formula unit
Calculated formation energy: 26.9 kJ per mole of atoms

---

(14)
## Sc2AsRu (PBE)

Data for crystalline Sc2AsRu at its relaxed geometry.

Structure (POSCAR):
```
Sc2AsRu
1.0
-3.804 0.329 -1.609
-1.181 -2.389 2.304
-1.653 2.485 4.416
Sc Ru As
2 1 1
Direct
0.000 0.983 0.909 Sc
0.500 0.270 0.334 Sc
0.500 0.543 0.792 Ru
0.000 0.704 0.466 As
```

M_tot: 0.000 μB per formula unit
Calculated formation energy: -78.9 kJ per mole of atoms

---

(15)
## KZrIn (PBE)

Data for crystalline KZrIn at its relaxed geometry.

Structure (POSCAR):
```
KZrIn
1.0
-2.995 1.939 3.853
-4.949 -1.661 0.568
-1.301 -3.026 4.090
K In Zr
1 1 1
Direct
0.000 0.000 0.000 K
0.750 0.750 0.750 In
0.500 0.500 0.500 Zr
```

M_tot: 0.004 μB per formula unit
Calculated formation energy: 79.4 kJ per mole of atoms

---

(16)
## Pa2Re2Si2C (PBE)

Data for crystalline Pa2Re2Si2C at its relaxed geometry.

Structure (POSCAR):
```
Pa2Re2Si2C
1.0
4.117 0.000 0.000
2.059 5.459 0.014
2.059 1.317 5.331
Re Si C Pa
2 2 1 2
Direct
0.787 0.317 0.109 Re
0.213 0.683 0.891 Re
0.142 0.393 0.322 Si
0.858 0.607 0.678 Si
0.000 0.000 0.000 C
0.568 0.161 0.703 Pa
0.432 0.839 0.297 Pa
```

M_tot: 0.000 μB per formula unit
E_form (uncorrected): -0.5078 eV per atom

---

(17)
## TaSiRu2 (PBE)

Data for crystalline TaSiRu2 at its relaxed geometry.

Structure (POSCAR):
```
TaSiRu2
1.0
-5.305 -4.199 0.430
1.239 -0.889 6.605
-3.667 -0.419 4.110
Si Ru Ta
2 4 2
Direct
0.500 0.500 0.000 Si
0.250 0.750 0.500 Si
0.375 0.425 0.750 Ru
0.575 0.125 0.250 Ru
0.175 0.625 0.250 Ru
0.875 0.825 0.750 Ru
0.000 0.000 0.000 Ta
0.750 0.250 0.500 Ta
```

M_tot: 0.000 μB per formula unit
E_form (uncorrected): 0.1265 eV per atom

---

(18)
## Pb5Au3 (PBE)

Data for crystalline Pb5Au3 at its relaxed geometry.

Structure (POSCAR):
```
Pb5Au3
1.0
6.660 0.027 0.000
-1.698 6.440 0.000
0.000 0.000 4.906
Au Pb
3 5
Direct
0.797 0.203 0.500 Au
0.203 0.797 0.500 Au
0.500 0.500 0.000 Au
0.000 0.500 0.000 Pb
0.500 0.000 0.000 Pb
0.292 0.292 0.500 Pb
0.708 0.708 0.500 Pb
0.000 0.000 0.000 Pb
```

M_tot: 0.000 μB per formula unit
Calculated formation energy: -0.6 kJ per mole of atoms

---

(19)
## Ba3CoPb (PBE)

Data for crystalline Ba3CoPb at its relaxed geometry.

Structure (POSCAR):
```
Ba3CoPb
1.0
5.787 0.000 0.000
0.000 5.787 0.000
0.000 0.000 5.787
Ba Pb Co
3 1 1
Direct
0.000 0.000 0.500 Ba
0.000 0.500 0.000 Ba
0.500 0.000 0.000 Ba
0.500 0.500 0.500 Pb
0.000 0.000 0.000 Co
```

M_tot: 0.034 μB per formula unit
Calculated formation energy: 3.8 kJ per mole of atoms

---

(20)
## SiRu (PBE)

Data for crystalline SiRu at its relaxed geometry.

Structure (POSCAR):
```
SiRu
1.0
-2.877 0.543 0.120
1.271 -0.605 -2.570
-0.645 -3.532 0.512
Ru Si
1 1
Direct
0.667 0.333 0.000 Ru
0.333 0.667 0.500 Si
```

M_tot: 0.000 μB per formula unit
E_form (uncorrected): -0.4990 eV per atom